No. 1
Computed, not measured: crystalline Sm4Ge2SeCl at its relaxed geometry at the PBE level of DFT.

Structure (POSCAR):
```
Sm4Ge2SeCl
1.0
5.9158 0.3226 0.0000
-0.3218 5.9159 0.0000
-2.7970 -3.1192 5.8833
Sm Ge Se Cl
4 2 1 1
direct
0.9374 0.4372 0.0000 Sm
0.4372 0.9374 0.0000 Sm
0.1838 0.1838 0.4934 Sm
0.6903 0.6903 0.5066 Sm
0.1870 0.6870 0.5000 Ge
0.6870 0.1870 0.5000 Ge
0.9372 0.9372 0.0000 Se
0.4374 0.4374 0.0000 Cl
```

Calculated values
ΔE_f (raw)	-1.33	eV/atom
crystal system	tetragonal
density	6924	kg/m3
final energy	-44.1	eV for the cell shown



No. 2
Computed, not measured: crystalline TaGeSe2Cl at its relaxed geometry at the PBE level of DFT.

Structure (POSCAR):
```
TaGeSe2Cl
1.0
-1.6695 -3.3943 3.4242
4.3729 -0.4507 1.6853
-0.8872 3.7781 3.3125
Ge Cl Se Ta
1 1 2 1
direct
0.5000 0.5000 0.5000 Ge
0.0000 0.5000 0.0000 Cl
0.0000 0.0000 0.5000 Se
0.5000 0.0000 0.0000 Se
0.0000 0.0000 0.0000 Ta
```

Calculated values
ΔE_f (raw)	-0.06	eV/atom
crystal system	tetragonal
density	6055	kg/m3
final energy	-25.6	eV for the cell shown



No. 3
Computed, not measured: crystalline Tb4GeSe2Cl at its relaxed geometry at the PBE level of DFT.

Structure (POSCAR):
```
Tb4GeSe2Cl
1.0
4.1134 0.0000 0.0000
0.0000 7.0897 -0.1516
0.0000 2.4893 6.6764
Tb Ge Se Cl
4 1 2 1
direct
0.0000 0.7589 0.7286 Tb
0.0000 0.2411 0.2714 Tb
0.5000 0.7442 0.2658 Tb
0.5000 0.2558 0.7342 Tb
0.0000 0.5000 0.5000 Ge
0.0000 0.0000 0.0000 Se
0.5000 0.0000 0.5000 Se
0.5000 0.5000 0.0000 Cl
```

Calculated values
ΔE_f (raw)	-1.49	eV/atom
crystal system	monoclinic
density	7630	kg/m3
final energy	-43.9	eV for the cell shown



No. 4
Computed, not measured: crystalline TiGeSeCl2 at its relaxed geometry at the PBE level of DFT.

Structure (POSCAR):
```
TiGeSeCl2
1.0
4.8800 0.0000 0.0000
0.0000 5.4004 0.0000
0.0000 0.0000 4.8800
Ge Cl Se Ti
1 2 1 1
direct
0.0000 0.0000 0.0000 Ge
0.0000 0.0000 0.5000 Cl
0.5000 0.0000 0.0000 Cl
0.0000 0.5000 0.0000 Se
0.5000 0.5000 0.5000 Ti
```

Calculated values
ΔE_f (raw)	0.06	eV/atom
crystal system	tetragonal
density	3491	kg/m3
final energy	-19.4	eV for the cell shown



No. 5
Computed, not measured: crystalline Tl5GeSe4Cl2 at its relaxed geometry at the PBE level of DFT.

Structure (POSCAR):
```
Tl5GeSe4Cl2
1.0
-6.9769 -0.9489 -4.7014
6.0415 -2.6181 -0.8138
-2.4644 -7.2802 5.1266
Tl Ge Se Cl
5 1 4 2
direct
0.1136 0.3671 0.2424 Tl
0.4319 0.0000 0.5000 Tl
0.1136 0.3671 0.7576 Tl
0.7465 0.6328 0.7576 Tl
0.7465 0.6328 0.2424 Tl
0.3528 0.0000 0.0000 Ge
0.5426 0.0000 0.1973 Se
0.5426 0.0000 0.8027 Se
0.4024 0.3919 0.0000 Se
0.0105 0.6081 0.0000 Se
0.9947 0.5868 0.5000 Cl
0.4080 0.4132 0.5000 Cl
```

Calculated values
ΔE_f (raw)	-0.53	eV/atom
crystal system	orthorhombic
density	6156	kg/m3
final energy	-40.5	eV for the cell shown



No. 6
Computed, not measured: crystalline Y4GeSe2Cl at its relaxed geometry at the PBE level of DFT.

Structure (POSCAR):
```
Y4GeSe2Cl
1.0
-2.4589 2.7600 -1.7898
0.5976 -3.4580 -6.1537
-5.1600 -4.8858 -0.4453
Y Ge Se Cl
4 1 2 1
direct
0.0000 0.7598 0.7273 Y
0.0000 0.2402 0.2727 Y
0.5000 0.7441 0.2672 Y
0.5000 0.2559 0.7328 Y
0.0000 0.5000 0.5000 Ge
0.0000 0.0000 0.0000 Se
0.5000 0.0000 0.5000 Se
0.5000 0.5000 0.0000 Cl
```

Calculated values
ΔE_f (raw)	-1.49	eV/atom
crystal system	monoclinic
density	5275	kg/m3
final energy	-51.2	eV for the cell shown



No. 7
Computed, not measured: crystalline ZnGeSe2Cl at its relaxed geometry at the PBE level of DFT.

Structure (POSCAR):
```
ZnGeSe2Cl
1.0
-4.2898 0.4844 2.7496
-1.9969 -3.8346 -2.4399
1.8858 -3.2143 3.5084
Ge Zn Se Cl
1 1 2 1
direct
0.0000 0.5000 0.0000 Ge
0.5000 0.5000 0.5000 Zn
0.0000 0.0000 0.5000 Se
0.5000 0.0000 0.0000 Se
0.0000 0.0000 0.0000 Cl
```

Calculated values
ΔE_f (raw)	0.81	eV/atom
crystal system	tetragonal
density	4232	kg/m3
final energy	-10.7	eV for the cell shown



No. 8
Computed, not measured: crystalline SiGeCl2 at its relaxed geometry at the PBE level of DFT.

Structure (POSCAR):
```
SiGeCl2
1.0
0.0000 3.4396 3.4396
3.4396 0.0000 3.4396
3.4396 3.4396 0.0000
Ge Si Cl
1 1 2
direct
0.5000 0.5000 0.5000 Ge
0.0000 0.0000 0.0000 Si
0.2500 0.2500 0.2500 Cl
0.7500 0.7500 0.7500 Cl
```

Calculated values
ΔE_f (raw)	0.35	eV/atom
crystal system	cubic
offset from the most stable computed form	197	meV per atom
density	3502	kg/m3
final energy	-12.3	eV for the cell shown



No. 9
Computed, not measured: crystalline Si3GeCl at its relaxed geometry at the PBE level of DFT.

Structure (POSCAR):
```
Si3GeCl
1.0
-3.7073 -1.6426 2.7874
2.9985 -3.3366 2.0218
1.2152 3.2219 3.5149
Ge Si Cl
1 3 1
direct
0.0000 0.0000 0.0000 Ge
0.0000 0.5000 0.0000 Si
0.0000 0.0000 0.5000 Si
0.5000 0.0000 0.0000 Si
0.5000 0.5000 0.5000 Cl
```

Calculated values
ΔE_f (raw)	1.03	eV/atom
crystal system	cubic
offset from the most stable computed form	0	meV per atom
density	2681	kg/m3
final energy	-17.6	eV for the cell shown



No. 10
Computed, not measured: crystalline SiGeCl3 at its relaxed geometry at the PBE level of DFT.

Structure (POSCAR):
```
SiGeCl3
1.0
-1.9191 4.2974 -1.6688
-0.3818 -1.9496 -4.5813
-4.5942 -1.6331 1.0779
Ge Si Cl
1 1 3
direct
0.5000 0.5000 0.5000 Ge
0.0000 0.0000 0.0000 Si
0.0000 0.5000 0.0000 Cl
0.0000 0.0000 0.5000 Cl
0.5000 0.0000 0.0000 Cl
```

Calculated values
ΔE_f (raw)	-0.05	eV/atom
crystal system	cubic
offset from the most stable computed form	0	meV per atom
density	2762	kg/m3
final energy	-15.8	eV for the cell shown



No. 11
Computed, not measured: crystalline Si3GeCl at its relaxed geometry at the PBE level of DFT.

Structure (POSCAR):
```
Si3GeCl
1.0
-2.9232 -3.5250 1.3768
3.2031 -3.2311 -1.4717
2.0152 0.0226 4.3364
Ge Si Cl
1 3 1
direct
0.5000 0.5000 0.5000 Ge
0.0000 0.5000 0.0000 Si
0.0000 0.0000 0.5000 Si
0.5000 0.0000 0.0000 Si
0.0000 0.0000 0.0000 Cl
```

Calculated values
ΔE_f (raw)	1.19	eV/atom
crystal system	cubic
offset from the most stable computed form	160	meV per atom
density	2921	kg/m3
final energy	-16.8	eV for the cell shown



No. 12
Computed, not measured: crystalline SiGeCl2 at its relaxed geometry at the PBE level of DFT.

Structure (POSCAR):
```
SiGeCl2
1.0
7.5846 0.0000 0.0000
0.0000 7.5846 0.0000
3.7923 3.7923 3.0795
Ge Si Cl
2 2 4
direct
0.0000 0.0000 0.0000 Ge
0.7500 0.2500 0.5000 Ge
0.5000 0.5000 0.0000 Si
0.2500 0.7500 0.5000 Si
0.6123 0.1250 0.2500 Cl
0.1377 0.6250 0.2500 Cl
0.3750 0.3877 0.7500 Cl
0.8750 0.8623 0.7500 Cl
```

Calculated values
ΔE_f (raw)	0.15	eV/atom
crystal system	tetragonal
offset from the most stable computed form	0	meV per atom
density	3218	kg/m3
final energy	-26.2	eV for the cell shown